Entry 1:
The following is a DFT calculation (PBE with a Hubbard U) of In3CoO after structural relaxation.

The space group is Pm-3m (221). The calculation puts the total magnetization at 2.10 μB/f.u. Its polymorph energy (0 for the lowest one) is 0 meV per atom. As for the density of states at the Fermi level: 1.7 states/eV/cell. The value obtained for the total energy is -17.628 eV per formula unit. Its volume is 107.8 Å³/cell.

abc: 4.7590 4.7590 4.7590
angles: 90.00 90.00 90.00
With the nearest neighbours (Å) after each atom.
Element x y z (fractional)
In (0.5000, 0.0000, 0.0000)  2 O 2.38
In (0.0000, 0.5000, 0.0000)  2 O 2.38
Co (0.5000, 0.5000, 0.5000)  12 In 3.37
O (0.0000, 0.0000, 0.0000)  6 In 2.38
In (0.0000, 0.0000, 0.5000)  2 O 2.38

***

Entry 2:
The following is a DFT calculation (PBE with a Hubbard U) of InCo3O after structural relaxation.

The space group is Pm-3m (221). The calculation puts the total magnetization at 8.02 μB/f.u. Its polymorph energy (0 for the lowest one) is 1683 meV per atom. As for the density of states at the Fermi level: 1.7 states/eV/cell. The value obtained for the total energy is -13.197 eV per formula unit. Its volume is 115.7 Å³/cell.

abc: 4.8731 4.8731 4.8731
angles: 90.00 90.00 90.00
With the nearest neighbours (Å) after each atom.
Element x y z (fractional)
In (0.0000, 0.0000, 0.0000)  6 Co 2.44
Co (0.0000, 0.0000, 0.5000)  2 In 2.44
O (0.5000, 0.5000, 0.5000)  12 Co 3.45
Co (0.0000, 0.5000, 0.0000)  2 In 2.44
Co (0.5000, 0.0000, 0.0000)  2 In 2.44

***

Entry 3:
The following is a DFT calculation (PBE with a Hubbard U) of In2CoO after structural relaxation.

The space group is I-42d (122). The calculation puts the total magnetization at 1.07 μB/f.u. As for the density of states at the Fermi level: 1.0 states/eV/cell. The value obtained for the total energy is -15.989 eV per formula unit. Its volume is 139.5 Å³/cell.

abc: 6.4193 6.4193 5.6627
angles: 55.47 55.47 90.00
With the nearest neighbours (Å) after each atom.
Element x y z (fractional)
In (0.5832, 0.1250, 0.2500)  2 O 2.25
Co (0.0000, 0.0000, 0.0000)  4 In 2.61
O (0.5000, 0.5000, 0.0000)  4 In 2.25
In (0.1668, 0.6250, 0.2500)  2 O 2.25
O (0.2500, 0.7500, 0.5000)  4 In 2.25
Co (0.7500, 0.2500, 0.5000)  4 In 2.61
In (0.3750, 0.4168, 0.7500)  2 O 2.25
In (0.8750, 0.8332, 0.7500)  2 O 2.25

***

Entry 4:
The following is a DFT calculation (PBE with a Hubbard U) of In2Co2O7 after structural relaxation.

The space group is Fd-3m (227). The calculation puts the total magnetization at 2.00 μB/f.u. As for the density of states at the Fermi level: 8.9 states/eV/cell. The value obtained for the total energy is -61.877 eV per formula unit. Its volume is 229.4 Å³/cell.

abc: 6.8713 6.8713 6.8713
angles: 60.00 60.00 60.00
With the nearest neighbours (Å) after each atom.
Element x y z (fractional)
Co (0.1250, 0.6250, 0.6250)  6 O 1.88
O (0.9533, 0.9533, 0.5467)  2 Co 1.88
O (0.7033, 0.2967, 0.7033)  2 Co 1.88
In (0.1250, 0.1250, 0.1250)  2 O 2.10
O (0.2967, 0.2967, 0.7033)  2 Co 1.88
Co (0.6250, 0.6250, 0.1250)  6 O 1.88
O (0.9533, 0.5467, 0.9533)  2 Co 1.88
O (0.0000, 0.0000, 0.0000)  4 In 2.10
O (0.2967, 0.7033, 0.2967)  2 Co 1.88
O (0.2500, 0.2500, 0.2500)  4 In 2.10
Co (0.6250, 0.6250, 0.6250)  6 O 1.88
O (0.7033, 0.2967, 0.2967)  2 Co 1.88
In (0.1250, 0.6250, 0.1250)  2 O 2.10
Co (0.6250, 0.1250, 0.6250)  6 O 1.88
In (0.1250, 0.1250, 0.6250)  2 O 2.10
O (0.9533, 0.5467, 0.5467)  2 Co 1.88
O (0.5467, 0.5467, 0.9533)  2 Co 1.88
In (0.6250, 0.1250, 0.1250)  2 O 2.10
O (0.2967, 0.7033, 0.7033)  2 Co 1.88
O (0.5467, 0.9533, 0.5467)  2 Co 1.88
O (0.5467, 0.9533, 0.9533)  2 Co 1.88
O (0.7033, 0.7033, 0.2967)  2 Co 1.88

***

Entry 5:
The following is a DFT calculation (PBE with a Hubbard U) of InCoO2 after structural relaxation.

The space group is I-42d (122). The calculation puts the total magnetization at 2.99 μB/f.u. As for the density of states at the Fermi level: 1.2 states/eV/cell. The value obtained for the total energy is -21.671 eV per formula unit. Its volume is 119.1 Å³/cell.

abc: 4.9477 4.9477 5.9934
angles: 65.62 65.62 90.00
With the nearest neighbours (Å) after each atom.
Element x y z (fractional)
Co (0.2500, 0.7500, 0.5000)  4 O 2.03
Co (0.5000, 0.5000, 0.0000)  4 O 2.03
O (0.5891, 0.1250, 0.2500)  2 Co 2.03, 2 In 2.24
In (0.0000, 0.0000, 0.0000)  4 O 2.24
In (0.7500, 0.2500, 0.5000)  4 O 2.24
O (0.1609, 0.6250, 0.2500)  2 Co 2.03, 2 In 2.24
O (0.3750, 0.4109, 0.7500)  2 Co 2.03, 2 In 2.24
O (0.8750, 0.8391, 0.7500)  2 Co 2.03, 2 In 2.24

***

Entry 6:
The following is a DFT calculation (PBE with a Hubbard U) of In2CoOsO after structural relaxation.

The space group is P4/mmm (123). The calculation puts the total magnetization at 1.84 μB/f.u. As for the density of states at the Fermi level: 3.3 states/eV/cell. The value obtained for the total energy is -20.917 eV per formula unit. Its volume is 100.8 Å³/cell.

abc: 4.8288 4.3235 4.8288
angles: 90.00 90.00 90.00
With the nearest neighbours (Å) after each atom.
Element x y z (fractional)
In (0.5000, 0.0000, 0.0000)  2 Co 2.41
Co (0.0000, 0.0000, 0.0000)  2 Os 2.16, 4 In 2.41
O (0.5000, 0.5000, 0.5000)  8 In 3.24, 4 Os 3.41
Os (0.0000, 0.5000, 0.0000)  2 Co 2.16
In (0.0000, 0.0000, 0.5000)  2 Co 2.41

***

Entry 7:
The following is a DFT calculation (PBE with a Hubbard U) of InCoPO2 after structural relaxation.

The space group is P4/mmm (123). The calculation puts the total magnetization at 4.09 μB/f.u. Its polymorph energy (0 for the lowest one) is 521 meV per atom. As for the density of states at the Fermi level: 3.4 states/eV/cell. The value obtained for the total energy is -21.508 eV per formula unit. Its volume is 92.2 Å³/cell.

abc: 3.9769 3.9769 5.8286
angles: 90.00 90.00 90.00
With the nearest neighbours (Å) after each atom.
Element x y z (fractional)
In (0.0000, 0.0000, 0.0000)  4 O 1.99
O (0.5000, 0.0000, 0.0000)  2 In 1.99
Co (0.5000, 0.5000, 0.5000)  4 P 2.81
O (0.0000, 0.5000, 0.0000)  2 In 1.99
P (0.0000, 0.0000, 0.5000)  4 Co 2.81, 2 In 2.91

***

Entry 8:
The following is a DFT calculation (PBE with a Hubbard U) of InCoPO2 after structural relaxation.

The space group is P4/mmm (123). The calculation puts the total magnetization at 2.88 μB/f.u. Its polymorph energy (0 for the lowest one) is 0 meV per atom. As for the density of states at the Fermi level: 2.7 states/eV/cell. The value obtained for the total energy is -24.115 eV per formula unit. Its volume is 68.7 Å³/cell.

abc: 3.7598 3.7598 4.8591
angles: 90.00 90.00 90.00
With the nearest neighbours (Å) after each atom.
Element x y z (fractional)
Co (0.0000, 0.0000, 0.0000)  4 O 1.88
O (0.0000, 0.5000, 0.0000)  2 Co 1.88
In (0.5000, 0.5000, 0.5000)  4 P 2.66
P (0.0000, 0.0000, 0.5000)  2 Co 2.43, 4 In 2.66
O (0.5000, 0.0000, 0.0000)  2 Co 1.88

***

Entry 9:
The following is a DFT calculation (PBE with a Hubbard U) of InCoP2O after structural relaxation.

The space group is P4/mmm (123). The calculation puts the total magnetization at 4.23 μB/f.u. Its polymorph energy (0 for the lowest one) is 862 meV per atom. As for the density of states at the Fermi level: 4.0 states/eV/cell. The value obtained for the total energy is -18.424 eV per formula unit. Its volume is 123.4 Å³/cell.

abc: 5.4487 5.4487 4.1570
angles: 90.00 90.00 90.00
With the nearest neighbours (Å) after each atom.
Element x y z (fractional)
In (0.0000, 0.0000, 0.0000)  2 O 2.08
O (0.0000, 0.0000, 0.5000)  2 In 2.08
Co (0.5000, 0.5000, 0.5000)  8 P 3.43
P (0.5000, 0.0000, 0.0000)  2 In 2.72
P (0.0000, 0.5000, 0.0000)  2 In 2.72

***

Entry 10:
The following is a DFT calculation (PBE with a Hubbard U) of InCoP2O after structural relaxation.

The space group is P4/mmm (123). The calculation puts the total magnetization at 1.65 μB/f.u. Its polymorph energy (0 for the lowest one) is 0 meV per atom. As for the density of states at the Fermi level: 2.5 states/eV/cell. The value obtained for the total energy is -22.734 eV per formula unit. Its volume is 82.8 Å³/cell.

abc: 4.9030 4.9030 3.4459
angles: 90.00 90.00 90.00
With the nearest neighbours (Å) after each atom.
Element x y z (fractional)
In (0.5000, 0.5000, 0.5000)  8 P 3.00
O (0.0000, 0.0000, 0.5000)  2 Co 1.72
P (0.0000, 0.5000, 0.0000)  2 Co 2.45
P (0.5000, 0.0000, 0.0000)  2 Co 2.45
Co (0.0000, 0.0000, 0.0000)  2 O 1.72

***

Entry 11:
The following is a DFT calculation (PBE with a Hubbard U) of PaInCoO6 after structural relaxation.

The space group is P312 (149). The calculation puts the total magnetization at 1.03 μB/f.u. The value obtained for the total energy is -64.812 eV per formula unit. Its volume is 111.6 Å³/cell.

abc: 4.7354 5.2169 5.2169
angles: 120.00 90.00 90.00
With the nearest neighbours (Å) after each atom.
Element x y z (fractional)
O (0.2689, 0.2967, 0.3055)  1 Co 1.91
In (0.5000, 0.6667, 0.3333)  6 O 2.16
Co (0.5000, 0.0000, 0.0000)  6 O 1.91
Pa (0.0000, 0.3333, 0.6667)  6 O 2.20
O (0.7311, 0.2967, 0.9911)  1 Co 1.91
O (0.2689, 0.0089, 0.7033)  1 Co 1.91
O (0.7311, 0.0089, 0.3055)  1 Co 1.91
O (0.2689, 0.6945, 0.9911)  1 Co 1.91
O (0.7311, 0.6945, 0.7033)  1 Co 1.91

***

Entry 12:
The following is a DFT calculation (PBE with a Hubbard U) of InCoPtO4 after structural relaxation.

The space group is Imma (74). The calculation puts the total magnetization at 0.00 μB/f.u. The value obtained for the total energy is -39.039 eV per formula unit. Its volume is 178.4 Å³/cell.

abc: 5.9277 6.3601 6.6045
angles: 121.28 90.00 117.78
With the nearest neighbours (Å) after each atom.
Element x y z (fractional)
Co (0.7656, 0.5312, 0.0156)  6 O 1.94-2.04
In (0.5000, 0.0000, 0.5000)  6 O 2.22-2.31
O (0.1770, 0.7873, 0.1436)  2 Co 1.94-2.04
O (0.3897, 0.2127, 0.8564)  2 Co 1.94-2.04
In (0.5000, 0.0000, 0.0000)  6 O 2.22-2.31
Pt (0.5000, 0.5000, 0.5000)  4 O 2.02
O (0.7417, 0.4835, 0.2849)  1 Co 1.95, 2 Pt 2.02
Pt (0.0000, 0.5000, 0.5000)  4 O 2.02
Co (0.2344, 0.4688, 0.9844)  6 O 1.94-2.04
O (0.8230, 0.2127, 0.8564)  2 Co 1.94-2.04
O (0.6103, 0.7873, 0.1436)  2 Co 1.94-2.04
O (0.2583, 0.5165, 0.3014)  1 Co 1.95, 2 Pt 2.02
O (0.7417, 0.4835, 0.6986)  1 Co 1.95, 2 Pt 2.02
O (0.2583, 0.5165, 0.7151)  1 Co 1.95, 2 Pt 2.02